*one*
LuNbCo2 (PBE, relaxed); mass density = 10.16 g/cm³; symmetry = Fm-3m (225)
1.0
0.000 3.159 3.159
3.159 0.000 3.159
3.159 3.159 0.000
Lu Nb Co
1 1 2
Cartesian
0.000 0.000 0.000
3.159 3.159 3.159
1.580 1.580 1.580
4.739 4.739 4.739


*two*
LuNbCo2 (PBE, relaxed); mass density = 10.00 g/cm³; symmetry = P4/mmm (123)
1.0
3.115 0.000 0.000
0.000 3.115 0.000
0.000 0.000 6.602
Lu Nb Co
1 1 2
Cartesian
0.000 0.000 0.000
0.000 0.000 3.301
1.557 1.557 1.925
1.557 1.557 4.676


Which is the most stable structure? *two* is the most stable.


*one*
Nd2LuCo (PBE, relaxed); mass density = 7.30 g/cm³; symmetry = R-3m (166)
1.0
1.813 1.047 10.431
-1.813 1.047 10.431
0.000 -2.094 10.431
Nd Lu Co
2 1 1
Cartesian
0.000 0.000 3.473
0.000 0.000 27.819
0.000 0.000 0.000
0.000 0.000 15.646


*two*
Nd2LuCo (PBE, relaxed); mass density = 8.00 g/cm³; symmetry = P4/mmm (123)
1.0
3.533 0.000 0.000
0.000 3.533 0.000
0.000 0.000 8.689
Nd Lu Co
2 1 1
Cartesian
0.000 0.000 1.700
0.000 0.000 6.989
1.766 1.766 4.345
1.766 1.766 0.000


Which is the most stable structure? *two* is the most stable.


*one*
Pm2LuCo (PBE, relaxed); mass density = 7.45 g/cm³; symmetry = R-3m (166)
1.0
1.803 1.041 10.380
-1.803 1.041 10.380
0.000 -2.081 10.380
Pm Lu Co
2 1 1
Cartesian
0.000 0.000 3.461
0.000 0.000 27.679
0.000 0.000 0.000
0.000 0.000 15.570


*two*
Pm2LuCo (PBE, relaxed); mass density = 8.16 g/cm³; symmetry = P4/mmm (123)
1.0
3.508 0.000 0.000
0.000 3.508 0.000
0.000 0.000 8.670
Pm Lu Co
2 1 1
Cartesian
0.000 0.000 1.681
0.000 0.000 6.989
1.754 1.754 4.335
1.754 1.754 0.000


Which is the most stable structure? *two* is the most stable.


*one*
Pr2LuCo (PBE, relaxed); mass density = 7.08 g/cm³; symmetry = R-3m (166)
1.0
1.824 1.053 10.484
-1.824 1.053 10.484
0.000 -2.107 10.484
Pr Lu Co
2 1 1
Cartesian
0.000 0.000 3.486
0.000 0.000 27.965
0.000 0.000 0.000
0.000 0.000 15.725


*two*
Pr2LuCo (PBE, relaxed); mass density = 7.78 g/cm³; symmetry = P4/mmm (123)
1.0
3.556 0.000 0.000
0.000 3.556 0.000
0.000 0.000 8.705
Pr Lu Co
2 1 1
Cartesian
0.000 0.000 1.722
0.000 0.000 6.983
1.778 1.778 4.352
1.778 1.778 0.000


Which is the most stable structure? *two* is the most stable.


*one*
Lu2CoRh (PBE, relaxed); mass density = 11.74 g/cm³; symmetry = P4/mmm (123)
1.0
3.288 0.000 0.000
0.000 3.288 0.000
0.000 0.000 6.697
Lu Co Rh
2 1 1
Cartesian
0.000 0.000 1.622
0.000 0.000 5.075
1.644 1.644 0.000
1.644 1.644 3.348


*two*
Lu2CoRh (PBE, relaxed); mass density = 11.73 g/cm³; symmetry = Fm-3m (225)
1.0
0.000 3.309 3.309
3.309 0.000 3.309
3.309 3.309 0.000
Lu Co Rh
2 1 1
Cartesian
1.654 1.654 1.654
4.963 4.963 4.963
0.000 0.000 0.000
3.309 3.309 3.309


Which is the most stable structure? *one* is the most stable.


*one*
Lu2CoRu (PBE, relaxed); mass density = 11.82 g/cm³; symmetry = P4/mmm (123)
1.0
4.660 0.000 0.000
0.000 4.660 0.000
0.000 0.000 3.298
Lu Co Ru
2 1 1
Cartesian
0.000 2.330 0.000
2.330 0.000 0.000
0.000 0.000 1.649
2.330 2.330 1.649


*two*
Lu2CoRu (PBE, relaxed); mass density = 11.82 g/cm³; symmetry = Fm-3m (225)
1.0
0.000 3.296 3.296
3.296 0.000 3.296
3.296 3.296 0.000
Lu Co Ru
2 1 1
Cartesian
1.648 1.648 1.648
4.944 4.944 4.944
0.000 0.000 0.000
3.296 3.296 3.296


Which is the most stable structure? *two* is the most stable.


*one*
LuSc2Co (PBE, relaxed); mass density = 6.34 g/cm³; symmetry = P4/mmm (123)
1.0
3.192 0.000 0.000
0.000 3.192 0.000
0.000 0.000 8.325
Lu Sc Co
1 2 1
Cartesian
0.000 0.000 0.000
1.596 1.596 2.654
1.596 1.596 5.671
0.000 0.000 4.162


*two*
LuSc2Co (PBE, relaxed); mass density = 6.67 g/cm³; symmetry = R-3m (166)
1.0
2.429 1.402 3.945
-2.429 1.402 3.945
0.000 -2.804 3.945
Lu Sc Co
1 2 1
Cartesian
0.000 0.000 0.000
0.000 0.000 2.969
0.000 0.000 8.865
0.000 0.000 5.917


Which is the most stable structure? *one* is the most stable.


*one*
SmLuCo (PBE, relaxed); mass density = 8.01 g/cm³; symmetry = P3m1 (156)
1.0
3.880 0.000 0.000
-1.940 3.360 0.000
0.000 0.000 6.113
Sm Lu Co
1 1 1
Cartesian
0.000 0.000 0.000
0.000 2.240 2.853
1.940 1.120 1.485


*two*
SmLuCo (PBE, relaxed); mass density = 8.76 g/cm³; symmetry = F-43m (216)
1.0
0.000 3.314 3.314
3.314 0.000 3.314
3.314 3.314 0.000
Sm Lu Co
1 1 1
Cartesian
0.000 0.000 0.000
3.314 3.314 3.314
4.972 4.972 4.972


Which is the most stable structure? *two* is the most stable.


*one*
SmLu2Co (PBE, relaxed); mass density = 9.01 g/cm³; symmetry = R-3m (166)
1.0
1.672 0.966 10.635
-1.672 0.966 10.635
0.000 -1.931 10.635
Sm Lu Co
1 2 1
Cartesian
0.000 0.000 0.000
0.000 0.000 13.541
0.000 0.000 18.363
0.000 0.000 15.952


*two*
SmLu2Co (PBE, relaxed); mass density = 9.51 g/cm³; symmetry = P4/mmm (123)
1.0
3.339 0.000 0.000
0.000 3.339 0.000
0.000 0.000 8.753
Sm Lu Co
1 2 1
Cartesian
0.000 0.000 0.000
1.670 1.670 2.806
1.670 1.670 5.947
0.000 0.000 4.377


Which is the most stable structure? *two* is the most stable.


*one*
LuTaCo2 (PBE, relaxed); mass density = 12.62 g/cm³; symmetry = P4/mmm (123)
1.0
4.529 0.000 0.000
0.000 4.529 0.000
0.000 0.000 3.039
Lu Ta Co
1 1 2
Cartesian
0.000 0.000 0.000
2.264 2.264 0.000
0.000 2.264 1.519
2.264 0.000 1.519


*two*
LuTaCo2 (PBE, relaxed); mass density = 12.36 g/cm³; symmetry = P4/mmm (123)
1.0
3.099 0.000 0.000
0.000 3.099 0.000
0.000 0.000 6.628
Lu Ta Co
1 1 2
Cartesian
0.000 0.000 0.000
0.000 0.000 3.314
1.550 1.550 1.936
1.550 1.550 4.692


Which is the most stable structure? *two* is the most stable.


*one*
TbLuCo (PBE, relaxed); mass density = 9.20 g/cm³; symmetry = F-43m (216)
1.0
0.000 3.286 3.286
3.286 0.000 3.286
3.286 3.286 0.000
Tb Lu Co
1 1 1
Cartesian
0.000 0.000 0.000
3.286 3.286 3.286
4.928 4.928 4.928


*two*
TbLuCo (PBE, relaxed); mass density = 8.40 g/cm³; symmetry = P3m1 (156)
1.0
3.833 0.000 0.000
-1.916 3.319 0.000
0.000 0.000 6.100
Tb Lu Co
1 1 1
Cartesian
0.000 0.000 0.000
0.000 2.213 2.849
1.916 1.106 1.455


Which is the most stable structure? *one* is the most stable.


*one*
LuTiCo2 (PBE, relaxed); mass density = 9.26 g/cm³; symmetry = Fm-3m (225)
1.0
0.000 3.126 3.126
3.126 0.000 3.126
3.126 3.126 0.000
Lu Ti Co
1 1 2
Cartesian
0.000 0.000 0.000
3.126 3.126 3.126
1.563 1.563 1.563
4.689 4.689 4.689


*two*
LuTiCo2 (PBE, relaxed); mass density = 9.32 g/cm³; symmetry = P4/mmm (123)
1.0
3.073 0.000 0.000
0.000 3.073 0.000
0.000 0.000 6.431
Lu Ti Co
1 1 2
Cartesian
0.000 0.000 0.000
0.000 0.000 3.215
1.536 1.536 1.845
1.536 1.536 4.586


*three*
LuTiCo2 (PBE, relaxed); mass density = 9.28 g/cm³; symmetry = P4/mmm (123)
1.0
4.440 0.000 0.000
0.000 4.440 0.000
0.000 0.000 3.091
Lu Ti Co
1 1 2
Cartesian
0.000 0.000 0.000
2.220 2.220 0.000
0.000 2.220 1.545
2.220 0.000 1.545


Which is the most stable structure? *two* is the most stable.


*one*
LuVCo2 (PBE, relaxed); mass density = 9.78 g/cm³; symmetry = Fm-3m (225)
1.0
0.000 3.079 3.079
3.079 0.000 3.079
3.079 3.079 0.000
Lu V Co
1 1 2
Cartesian
0.000 0.000 0.000
3.079 3.079 3.079
1.539 1.539 1.539
4.618 4.618 4.618


*two*
LuVCo2 (PBE, relaxed); mass density = 9.81 g/cm³; symmetry = P4/mmm (123)
1.0
4.380 0.000 0.000
0.000 4.380 0.000
0.000 0.000 3.034
Lu V Co
1 1 2
Cartesian
0.000 0.000 0.000
2.190 2.190 0.000
0.000 2.190 1.517
2.190 0.000 1.517


Which is the most stable structure? *one* is the most stable.


*one*
LuVCo2 (PBE, relaxed); mass density = 8.93 g/cm³; symmetry = R-3m (166)
1.0
1.986 1.147 4.679
-1.986 1.147 4.679
0.000 -2.293 4.679
Lu V Co
1 1 2
Cartesian
0.000 0.000 0.000
0.000 0.000 7.019
0.000 0.000 2.864
0.000 0.000 11.175


*two*
LuVCo2 (PBE, relaxed); mass density = 9.87 g/cm³; symmetry = P4/mmm (123)
1.0
2.947 0.000 0.000
0.000 2.947 0.000
0.000 0.000 6.661
Lu V Co
1 1 2
Cartesian
0.000 0.000 0.000
0.000 0.000 3.331
1.474 1.474 2.024
1.474 1.474 4.637


Which is the most stable structure? *two* is the most stable.